First-principles (PBE) data for a relaxed structure of K4CO4, as listed in the Alexandria database.

Unit cell a=7.2198 b=7.2198 c=5.5284 alpha=90.00 beta=90.00 gamma=90.00
Atoms (fractional coordinates):
K (0.0290, 0.2500, 0.1079)
K (0.2500, 0.0290, 0.6079)
K (0.2500, 0.4710, 0.6079)
K (0.4710, 0.2500, 0.1079)
K (0.5290, 0.7500, 0.8921)
K (0.7500, 0.5290, 0.3921)
K (0.7500, 0.9710, 0.3921)
K (0.9710, 0.7500, 0.8921)
C (0.2500, 0.7500, 0.2500)
C (0.7500, 0.2500, 0.7500)
O (0.0848, 0.7500, 0.3974)
O (0.2500, 0.5848, 0.1026)
O (0.2500, 0.9152, 0.1026)
O (0.4152, 0.7500, 0.3974)
O (0.5848, 0.2500, 0.6026)
O (0.7500, 0.0848, 0.8974)
O (0.7500, 0.4152, 0.8974)
O (0.9152, 0.2500, 0.6026)

Calculated values
The density of states at the Fermi level comes out at 0.00 states/eV/cell. The calculation puts the relative energy among the computed polymorphs at 0 kJ/mol of formula units. The value obtained for the magnetization is 0.094 μB per cell.



First-principles (PBE) data for a relaxed structure of K8C3O8, as listed in the Alexandria database.

Unit cell a=10.4018 b=10.4018 c=9.6000 alpha=101.45 beta=101.45 gamma=28.60
Atoms (fractional coordinates):
K (0.0586, 0.0586, 0.1893)
K (0.2385, 0.1253, 0.5189)
K (0.3036, 0.3186, 0.9309)
K (0.4206, 0.4329, 0.3434)
K (0.5671, 0.5794, 0.6566)
K (0.6814, 0.6964, 0.0691)
K (0.8747, 0.7615, 0.4811)
K (0.9414, 0.9414, 0.8107)
C (0.2366, 0.2802, 0.2658)
C (0.7198, 0.7634, 0.7342)
C (0.9719, 0.0281, 0.5000)
O (0.0619, 0.8452, 0.5459)
O (0.1247, 0.4553, 0.1879)
O (0.1548, 0.9381, 0.4541)
O (0.2174, 0.1694, 0.2251)
O (0.3626, 0.2209, 0.3871)
O (0.5447, 0.8753, 0.8121)
O (0.7791, 0.6374, 0.6129)
O (0.8306, 0.7826, 0.7749)

Calculated values
The density of states at the Fermi level comes out at 2.31 states/eV/cell. Its total energy is -5.385 eV per atom. The value obtained for the magnetization is 0.000 μB per cell.



First-principles (PBE) data for a relaxed structure of KCO2, as listed in the Alexandria database.

Unit cell a=6.9028 b=6.9028 c=6.9028 alpha=23.17 beta=23.17 gamma=23.17
Atoms (fractional coordinates):
K (0.0000, 0.0000, 0.0000)
C (0.5000, 0.5000, 0.5000)
O (0.1197, 0.1197, 0.1197)
O (0.8803, 0.8803, 0.8803)

Calculated values
The density of states at the Fermi level comes out at 3.05 states/eV/cell. Its total energy is -4.072 eV per atom. The value obtained for the magnetization is 0.000 μB per cell.



First-principles (PBE) data for a relaxed structure of K2CO3, as listed in the Alexandria database.

Unit cell a=5.7295 b=9.8530 c=7.1501 alpha=90.00 beta=97.21 gamma=90.00
Atoms (fractional coordinates):
K (0.2411, 0.0816, 0.1924)
K (0.2411, 0.4184, 0.6924)
K (0.2586, 0.7316, 0.0254)
K (0.2586, 0.7684, 0.5254)
K (0.7414, 0.2316, 0.4746)
K (0.7414, 0.2684, 0.9746)
K (0.7589, 0.5816, 0.3076)
K (0.7589, 0.9184, 0.8076)
C (0.2508, 0.0843, 0.7559)
C (0.2508, 0.4157, 0.2559)
C (0.7492, 0.5843, 0.7441)
C (0.7492, 0.9157, 0.2441)
O (0.0613, 0.1543, 0.7743)
O (0.0613, 0.3457, 0.2743)
O (0.2620, 0.5432, 0.3073)
O (0.2620, 0.9568, 0.8073)
O (0.4285, 0.1414, 0.6899)
O (0.4285, 0.3586, 0.1899)
O (0.5715, 0.6414, 0.8101)
O (0.5715, 0.8586, 0.3101)
O (0.7380, 0.0432, 0.1927)
O (0.7380, 0.4568, 0.6927)
O (0.9387, 0.6543, 0.7257)
O (0.9387, 0.8457, 0.2257)

Calculated values
The density of states at the Fermi level comes out at 0.00 states/eV/cell. Its total energy is -6.153 eV per atom. The value obtained for the magnetization is 0.000 μB per cell.